[1]
# Sc2VCd

A relaxed Sc2VCd crystal (PBE-GGA, Alexandria).

Cell lengths 4.165, 4.165, 20.357 Å; angles 90.00, 90.00, 90.00 degrees
Positions (direct):
1 Sc 0.245 0.250 0.125
2 Sc 0.250 0.745 0.375
3 Sc 0.250 0.755 0.875
4 Sc 0.255 0.250 0.625
5 Sc 0.745 0.750 0.625
6 Sc 0.750 0.245 0.875
7 Sc 0.750 0.255 0.375
8 Sc 0.755 0.750 0.125
9 V 0.000 0.000 0.000
10 V 0.000 0.500 0.250
11 V 0.500 0.000 0.750
12 V 0.500 0.500 0.500
13 Cd 0.000 0.000 0.500
14 Cd 0.000 0.500 0.750
15 Cd 0.500 0.000 0.250
16 Cd 0.500 0.500 0.000

Computed properties:
DFT total energy   -0.3765 Ry per atom
Space group   I-42d
Magnetization   0.571 μB/atom
V   22.065 Å³ per atom
E_form   0.55 eV per atom


[2]
# K2ZrOs

A relaxed K2ZrOs crystal (PBE-GGA, Alexandria).

Cell lengths 5.120, 5.120, 7.233 Å; angles 90.00, 90.00, 90.00 degrees
Positions (direct):
1 K 0.000 0.000 0.000
2 K 0.000 0.500 0.250
3 K 0.500 0.000 0.750
4 K 0.500 0.500 0.500
5 Zr 0.000 0.000 0.500
6 Zr 0.500 0.500 0.000
7 Os 0.000 0.500 0.750
8 Os 0.500 0.000 0.250

Computed properties:
Relative energy among the computed polymorphs   3.10 eV per formula unit
DFT total energy   -0.3159 Ry per atom
Space group   I-4m2
Magnetization   0.000 μB/atom
V   23.704 Å³ per atom
E_form   1.20 eV per atom


[3]
# Mg5Cl

A relaxed Mg5Cl crystal (PBE-GGA, Alexandria).

Cell lengths 5.967, 5.967, 5.967 Å; angles 60.00, 60.00, 60.00 degrees
Positions (direct):
1 Mg 0.000 0.000 0.000
2 Mg 0.120 0.627 0.627
3 Mg 0.627 0.120 0.627
4 Mg 0.627 0.627 0.120
5 Mg 0.627 0.627 0.627
6 Cl 0.250 0.250 0.250

Computed properties:
Relative energy among the computed polymorphs   1.36 eV per formula unit
DFT total energy   -0.1214 Ry per atom
Space group   F-43m
E_form (uncorrected)   -0.015 eV per atom
Magnetization   0.000 μB/atom
V   25.035 Å³ per atom


[4]
# Ac2AlS6

A relaxed Ac2AlS6 crystal (PBE-GGA, Alexandria).

Cell lengths 7.395, 7.395, 4.905 Å; angles 99.11, 99.11, 57.74 degrees
Positions (direct):
1 Ac 0.166 0.166 0.200
2 Ac 0.834 0.834 0.800
3 Al 0.500 0.500 0.500
4 S 0.131 0.599 0.332
5 S 0.279 0.721 0.000
6 S 0.401 0.869 0.668
7 S 0.599 0.131 0.332
8 S 0.721 0.279 0.000
9 S 0.869 0.401 0.668

Computed properties:
DFT total energy   -0.3862 Ry per atom
Space group   C2/m
E_form (uncorrected)   -1.174 eV per atom
Magnetization   0.000 μB/atom
V   24.791 Å³ per atom


[5]
# Ca2Pm4Nd5

A relaxed Ca2Pm4Nd5 crystal (PBE-GGA, Alexandria).

Cell lengths 9.774, 9.774, 8.260 Å; angles 104.70, 104.70, 31.12 degrees
Positions (direct):
1 Ca 0.045 0.045 0.229
2 Ca 0.955 0.955 0.771
3 Pm 0.141 0.141 0.689
4 Pm 0.405 0.405 0.050
5 Pm 0.595 0.595 0.950
6 Pm 0.859 0.859 0.311
7 Nd 0.229 0.229 0.134
8 Nd 0.316 0.316 0.585
9 Nd 0.500 0.500 0.500
10 Nd 0.684 0.684 0.415
11 Nd 0.771 0.771 0.866

Computed properties:
DFT total energy   -0.3093 Ry per atom
Space group   C2/m
Magnetization   0.000 μB/atom
V   35.768 Å³ per atom
E_form   0.05 eV per atom


[6]
# FeS4

A relaxed FeS4 crystal (PBE-GGA, Alexandria).

Cell lengths 3.424, 4.796, 6.562 Å; angles 98.75, 90.67, 110.84 degrees
Positions (direct):
1 Fe 0.000 0.000 0.000
2 S 0.139 0.290 0.749
3 S 0.368 0.743 0.818
4 S 0.632 0.257 0.182
5 S 0.861 0.710 0.251

Computed properties:
Relative energy among the computed polymorphs   0.00 eV per formula unit
DFT total energy   -0.3757 Ry per atom
Space group   P-1
E_form (uncorrected)   -0.117 eV per atom
Magnetization   0.255 μB/atom
V   19.855 Å³ per atom